PBE-GGA TaMnRe, relaxed; calculated density = 15.6 g/cm³; VASP energy = -33.413 eV per cell; total magnetic moment = 1.4 μB/f.u.; volume = 14.95 Å³ per atom; energy of formation from the pure elements = 0.0190 eV per atom; crystal system = trigonal; density of states at the Fermi level = 1.430 states/eV per atom
1.0
4.374 0.000 0.000
-2.187 3.788 0.000
0.000 0.000 2.707
Ta Mn Re
1 1 1
Direct
0.000 0.000 0.000 Ta
0.333 0.667 0.338 Mn
0.667 0.333 0.658 Re

=====

PBE-GGA Dy3BeNi3, relaxed; calculated density = 8.8 g/cm³; VASP energy = -75.301 eV per cell; total magnetic moment = 0.0 μB/f.u.; volume = 18.16 Å³ per atom; energy of formation from the pure elements = -0.3963 eV per atom; crystal system = orthorhombic; density of states at the Fermi level = 0.841 states/eV per atom
1.0
1.877 -4.994 0.000
1.877 4.994 0.000
0.000 0.000 13.565
Dy Be Ni
6 2 6
Direct
0.003 0.997 0.750 Dy
0.280 0.720 0.605 Dy
0.280 0.720 0.895 Dy
0.720 0.280 0.105 Dy
0.720 0.280 0.395 Dy
0.997 0.003 0.250 Dy
0.000 0.000 0.000 Be
0.000 0.000 0.500 Be
0.292 0.708 0.250 Ni
0.436 0.564 0.081 Ni
0.436 0.564 0.419 Ni
0.564 0.436 0.581 Ni
0.564 0.436 0.919 Ni
0.708 0.292 0.750 Ni

=====

PBE-GGA SrCu5P2, relaxed; calculated density = 6.3 g/cm³; VASP energy = -35.518 eV per cell; total magnetic moment = 0.0 μB/f.u.; volume = 15.31 Å³ per atom; energy of formation from the pure elements = -0.3170 eV per atom; crystal system = orthorhombic; density of states at the Fermi level = 0.312 states/eV per atom
1.0
-1.979 3.372 4.587
1.979 -3.372 4.587
1.979 3.372 -4.587
Sr Cu P
1 5 2
Direct
0.000 0.000 0.000 Sr
0.166 0.348 0.818 Cu
0.469 0.652 0.818 Cu
0.500 0.000 0.500 Cu
0.531 0.348 0.182 Cu
0.834 0.652 0.182 Cu
0.253 0.753 0.500 P
0.747 0.247 0.500 P

=====

PBE-GGA Tb5Pr3Tm2, relaxed; calculated density = 7.7 g/cm³; VASP energy = -89.078 eV per cell; total magnetic moment = 0.0 μB/f.u.; volume = 33.63 Å³ per atom; energy of formation from the pure elements = 0.1894 eV per atom; crystal system = monoclinic; density of states at the Fermi level = 1.696 states/eV per atom
1.0
5.394 -8.016 0.000
5.394 8.016 0.000
-5.354 0.000 7.778
Tb Pr Tm
10 6 4
Direct
0.028 0.972 0.750 Tb
0.153 0.376 0.774 Tb
0.273 0.727 0.250 Tb
0.376 0.153 0.274 Tb
0.469 0.531 0.250 Tb
0.531 0.469 0.750 Tb
0.624 0.847 0.726 Tb
0.727 0.273 0.750 Tb
0.847 0.624 0.226 Tb
0.972 0.028 0.250 Tb
0.018 0.267 0.044 Pr
0.234 0.766 0.750 Pr
0.267 0.018 0.544 Pr
0.733 0.982 0.456 Pr
0.766 0.234 0.250 Pr
0.982 0.733 0.956 Pr
0.232 0.463 0.454 Tm
0.463 0.232 0.954 Tm
0.537 0.768 0.046 Tm
0.768 0.537 0.546 Tm

=====

PBE-GGA Sr2PaPd4, relaxed; calculated density = 8.0 g/cm³; VASP energy = -35.697 eV per cell; total magnetic moment = 0.2 μB/f.u.; volume = 24.78 Å³ per atom; energy of formation from the pure elements = -0.2951 eV per atom; crystal system = tetragonal; density of states at the Fermi level = 0.798 states/eV per atom
1.0
-2.430 2.430 7.342
2.430 -2.430 7.342
2.430 2.430 -7.342
Sr Pa Pd
2 1 4
Direct
0.231 0.231 0.000 Sr
0.769 0.769 0.000 Sr
0.500 0.500 0.000 Pa
0.100 0.600 0.500 Pd
0.400 0.900 0.500 Pd
0.600 0.100 0.500 Pd
0.900 0.400 0.500 Pd

=====

PBE-GGA SnAuCl3, relaxed; calculated density = 4.6 g/cm³; VASP energy = -13.793 eV per cell; total magnetic moment = 0.0 μB/f.u.; volume = 30.18 Å³ per atom; crystal system = cubic; density of states at the Fermi level = 0.494 states/eV per atom; formation energy without anion corrections = -194.6 meV/atom
1.0
5.324 0.000 0.000
0.000 5.324 0.000
0.000 0.000 5.324
Sn Au Cl
1 1 3
Direct
0.000 0.000 0.000 Sn
0.500 0.500 0.500 Au
0.000 0.000 0.500 Cl
0.000 0.500 0.000 Cl
0.500 0.000 0.000 Cl

=====

PBE-GGA TaCoBr2, relaxed; calculated density = 10.0 g/cm³; VASP energy = -19.074 eV per cell; total magnetic moment = 1.1 μB/f.u.; volume = 16.66 Å³ per atom; crystal system = cubic; density of states at the Fermi level = 0.889 states/eV per atom; formation energy without anion corrections = 807.6 meV/atom
1.0
0.000 3.218 3.218
3.218 0.000 3.218
3.218 3.218 0.000
Ta Co Br
1 1 2
Direct
0.000 0.000 0.000 Ta
0.500 0.500 0.500 Co
0.250 0.250 0.250 Br
0.750 0.750 0.750 Br

=====

PBE-GGA MnReAs2Br, relaxed; calculated density = 7.1 g/cm³; VASP energy = -26.360 eV per cell; total magnetic moment = 6.6 μB/f.u.; volume = 21.92 Å³ per atom; crystal system = tetragonal; density of states at the Fermi level = 0.664 states/eV per atom; formation energy without anion corrections = 1246.0 meV/atom
1.0
4.739 0.000 0.000
0.000 4.739 0.000
0.000 0.000 4.881
Mn Re As Br
1 1 2 1
Direct
0.000 0.000 0.000 Mn
0.500 0.500 0.500 Re
0.000 0.500 0.000 As
0.500 0.000 0.000 As
0.000 0.000 0.500 Br

=====

PBE-GGA LaNdSiGe, relaxed; calculated density = 6.2 g/cm³; VASP energy = -22.867 eV per cell; total magnetic moment = 0.0 μB/f.u.; volume = 25.62 Å³ per atom; crystal system = orthorhombic; density of states at the Fermi level = 0.909 states/eV per atom; formation energy without anion corrections = -783.0 meV/atom
1.0
4.033 0.000 0.000
0.000 2.274 5.586
0.000 -2.274 5.586
La Nd Si Ge
1 1 1 1
Direct
0.000 0.000 0.000 La
0.500 0.722 0.722 Nd
0.000 0.282 0.282 Si
0.500 0.432 0.432 Ge

=====

PBE-GGA Tb5Mg12Pd3, relaxed; calculated density = 3.8 g/cm³; VASP energy = -194.639 eV per cell; total magnetic moment = 0.0 μB/f.u.; volume = 30.56 Å³ per atom; energy of formation from the pure elements = 0.4603 eV per atom; crystal system = cubic; density of states at the Fermi level = 0.994 states/eV per atom
1.0
-8.486 8.486 8.486
8.486 -8.486 8.486
8.486 8.486 -8.486
Tb Mg Pd
20 48 12
Direct
0.000 0.000 0.000 Tb
0.000 0.000 0.500 Tb
0.000 0.500 0.000 Tb
0.000 0.500 0.500 Tb
0.125 0.750 0.875 Tb
0.125 0.875 0.250 Tb
0.250 0.125 0.875 Tb
0.250 0.625 0.375 Tb
0.375 0.250 0.625 Tb
0.375 0.625 0.750 Tb
0.500 0.000 0.000 Tb
0.500 0.000 0.500 Tb
0.500 0.500 0.000 Tb
0.500 0.500 0.500 Tb
0.625 0.375 0.250 Tb
0.625 0.750 0.375 Tb
0.750 0.375 0.625 Tb
0.750 0.875 0.125 Tb
0.875 0.125 0.750 Tb
0.875 0.250 0.125 Tb
0.044 0.636 0.387 Mg
0.044 0.907 0.657 Mg
0.093 0.250 0.136 Mg
0.093 0.343 0.956 Mg
0.113 0.750 0.657 Mg
0.113 0.864 0.456 Mg
0.136 0.093 0.250 Mg
0.136 0.544 0.887 Mg
0.157 0.250 0.613 Mg
0.157 0.407 0.544 Mg
0.250 0.136 0.093 Mg
0.250 0.343 0.887 Mg
0.250 0.407 0.364 Mg
0.250 0.613 0.157 Mg
0.343 0.887 0.250 Mg
0.343 0.956 0.093 Mg
0.364 0.250 0.407 Mg
0.364 0.613 0.956 Mg
0.387 0.044 0.636 Mg
0.387 0.843 0.750 Mg
0.407 0.364 0.250 Mg
0.407 0.544 0.157 Mg
0.456 0.113 0.864 Mg
0.456 0.843 0.593 Mg
0.544 0.157 0.407 Mg
0.544 0.887 0.136 Mg
0.593 0.456 0.843 Mg
0.593 0.636 0.750 Mg
0.613 0.157 0.250 Mg
0.613 0.956 0.364 Mg
0.636 0.387 0.044 Mg
0.636 0.750 0.593 Mg
0.657 0.044 0.907 Mg
0.657 0.113 0.750 Mg
0.750 0.387 0.843 Mg
0.750 0.593 0.636 Mg
0.750 0.657 0.113 Mg
0.750 0.864 0.907 Mg
0.843 0.593 0.456 Mg
0.843 0.750 0.387 Mg
0.864 0.456 0.113 Mg
0.864 0.907 0.750 Mg
0.887 0.136 0.544 Mg
0.887 0.250 0.343 Mg
0.907 0.657 0.044 Mg
0.907 0.750 0.864 Mg
0.956 0.093 0.343 Mg
0.956 0.364 0.613 Mg
0.125 0.250 0.375 Pd
0.125 0.375 0.750 Pd
0.250 0.375 0.125 Pd
0.250 0.875 0.625 Pd
0.375 0.125 0.250 Pd
0.375 0.750 0.125 Pd
0.625 0.250 0.875 Pd
0.625 0.875 0.750 Pd
0.750 0.125 0.375 Pd
0.750 0.625 0.875 Pd
0.875 0.625 0.250 Pd
0.875 0.750 0.625 Pd

=====

PBE-GGA LaDy2Hg2Pb2, relaxed; calculated density = 10.4 g/cm³; VASP energy = -24.099 eV per cell; total magnetic moment = 0.0 μB/f.u.; volume = 29.21 Å³ per atom; energy of formation from the pure elements = -0.2781 eV per atom; crystal system = trigonal; density of states at the Fermi level = 0.846 states/eV per atom
1.0
2.556 1.476 9.035
-2.556 1.476 9.035
0.000 -2.951 9.035
La Dy Hg Pb
1 2 2 2
Direct
0.000 0.000 0.000 La
0.132 0.132 0.132 Dy
0.868 0.868 0.868 Dy
0.438 0.438 0.438 Hg
0.562 0.562 0.562 Hg
0.268 0.268 0.268 Pb
0.732 0.732 0.732 Pb

=====

PBE-GGA Dy2ScGa3, relaxed; calculated density = 6.7 g/cm³; VASP energy = -26.636 eV per cell; total magnetic moment = 0.0 μB/f.u.; volume = 23.98 Å³ per atom; energy of formation from the pure elements = -0.3366 eV per atom; crystal system = orthorhombic; density of states at the Fermi level = 1.049 states/eV per atom
1.0
-1.723 2.918 7.155
1.723 -2.918 7.155
1.723 2.918 -7.155
Dy Sc Ga
2 1 3
Direct
0.170 0.170 0.000 Dy
0.830 0.830 0.000 Dy
0.500 0.500 0.000 Sc
0.000 0.500 0.500 Ga
0.342 0.842 0.500 Ga
0.658 0.158 0.500 Ga